[1]
The following is a PBE calculation of a relaxed ReMo2Au crystal, from the Alexandria database.

CIF file:
```
data_ReMo2Au
_cell_length_a 3.9994
_cell_length_b 3.9994
_cell_length_c 7.9312
_cell_angle_alpha 90.00
_cell_angle_beta 90.00
_cell_angle_gamma 90.00
_symmetry_space_group_name_H-M 'I -4 m 2'
_symmetry_Int_Tables_number 119
_symmetry_space_group_name_Hall 'I -4 -2'
loop_
_atom_site_label
_atom_site_type_symbol
_atom_site_fract_x
_atom_site_fract_y
_atom_site_fract_z
Re1 Re 0.0000 0.0000 0.0000
Mo1 Mo 0.0000 0.0000 0.5000
Mo2 Mo 0.0000 0.5000 0.7500
Au1 Au 0.0000 0.5000 0.2500
```

Summary:
The energy of formation comes out at 0.2616 eV per atom. The volume comes out at 15.86 Å³ per atom. The value obtained for the total energy is -0.3339 hartree per atom. The density of states at the Fermi level comes out at 3.26 states/eV/f.u. The calculation puts the energy relative to the lowest polymorph listed for this composition at 0.080 eV per atom.

[2]
The following is a PBE calculation of a relaxed ReMoAu crystal, from the Alexandria database.

CIF file:
```
data_ReMoAu
_cell_length_a 6.1210
_cell_length_b 6.1210
_cell_length_c 6.1210
_cell_angle_alpha 90.00
_cell_angle_beta 90.00
_cell_angle_gamma 90.00
_symmetry_space_group_name_H-M 'F -4 3 m'
_symmetry_Int_Tables_number 216
_symmetry_space_group_name_Hall 'F -4 2 3'
loop_
_atom_site_label
_atom_site_type_symbol
_atom_site_fract_x
_atom_site_fract_y
_atom_site_fract_z
Re1 Re 0.0000 0.0000 0.0000
Mo1 Mo 0.2500 0.2500 0.7500
Au1 Au 0.2500 0.2500 0.2500
```

Summary:
The energy of formation comes out at 0.8188 eV per atom. The volume comes out at 19.11 Å³ per atom. The value obtained for the total energy is -0.2952 hartree per atom. The density of states at the Fermi level comes out at 1.85 states/eV/f.u. The calculation puts the energy relative to the lowest polymorph listed for this composition at 0.613 eV per atom.

[3]
The following is a PBE calculation of a relaxed ReMo3Au crystal, from the Alexandria database.

CIF file:
```
data_ReMo3Au
_cell_length_a 4.7174
_cell_length_b 4.7174
_cell_length_c 4.7174
_cell_angle_alpha 90.00
_cell_angle_beta 90.00
_cell_angle_gamma 90.00
_symmetry_space_group_name_H-M 'P m -3 m'
_symmetry_Int_Tables_number 221
_symmetry_space_group_name_Hall '-P 4 2 3'
loop_
_atom_site_label
_atom_site_type_symbol
_atom_site_fract_x
_atom_site_fract_y
_atom_site_fract_z
Re1 Re 0.0000 0.0000 0.0000
Mo1 Mo 0.0000 0.0000 0.5000
Au1 Au 0.5000 0.5000 0.5000
```

Summary:
The energy of formation comes out at 1.6033 eV per atom. The volume comes out at 21.00 Å³ per atom. The value obtained for the total energy is -0.2955 hartree per atom. The density of states at the Fermi level comes out at 5.31 states/eV/f.u. The calculation puts the energy relative to the lowest polymorph listed for this composition at 0.000 eV per atom.

[4]
The following is a PBE calculation of a relaxed ReMo2Au crystal, from the Alexandria database.

CIF file:
```
data_ReMo2Au
_cell_length_a 4.0036
_cell_length_b 4.0036
_cell_length_c 7.8963
_cell_angle_alpha 90.00
_cell_angle_beta 90.00
_cell_angle_gamma 90.00
_symmetry_space_group_name_H-M 'I 4/m m m'
_symmetry_Int_Tables_number 139
_symmetry_space_group_name_Hall '-I 4 2'
loop_
_atom_site_label
_atom_site_type_symbol
_atom_site_fract_x
_atom_site_fract_y
_atom_site_fract_z
Re1 Re 0.0000 0.0000 0.0000
Mo1 Mo 0.0000 0.5000 0.2500
Au1 Au 0.0000 0.0000 0.5000
```

Summary:
The energy of formation comes out at 0.2110 eV per atom. The volume comes out at 15.82 Å³ per atom. The value obtained for the total energy is -0.3357 hartree per atom. The density of states at the Fermi level comes out at 2.50 states/eV/f.u. The calculation puts the energy relative to the lowest polymorph listed for this composition at 0.029 eV per atom.

[5]
The following is a PBE calculation of a relaxed ReMo2Au crystal, from the Alexandria database.

CIF file:
```
data_ReMo2Au
_cell_length_a 9.2996
_cell_length_b 2.9106
_cell_length_c 4.8311
_cell_angle_alpha 90.00
_cell_angle_beta 101.32
_cell_angle_gamma 90.00
_symmetry_space_group_name_H-M 'C 1 m 1'
_symmetry_Int_Tables_number 8
loop_
_symmetry_equiv_pos_as_xyz
'x,y,z'
'x,-y,z'
'x+1/2,y+1/2,z'
'x+1/2,-y+1/2,z'
loop_
_atom_site_label
_atom_site_type_symbol
_atom_site_fract_x
_atom_site_fract_y
_atom_site_fract_z
Re1 Re 0.0000 0.0000 0.0000
Mo1 Mo 0.0071 0.5000 0.5136
Mo2 Mo 0.2588 0.0000 0.7724
Au1 Au 0.2534 0.5000 0.2669
```

Summary:
The energy of formation comes out at 0.3024 eV per atom. The volume comes out at 16.03 Å³ per atom. The value obtained for the total energy is -0.3324 hartree per atom. The density of states at the Fermi level comes out at 3.67 states/eV/f.u. The calculation puts the energy relative to the lowest polymorph listed for this composition at 0.120 eV per atom.

[6]
The following is a PBE calculation of a relaxed ReMo2Au crystal, from the Alexandria database.

CIF file:
```
data_ReMo2Au
_cell_length_a 2.8409
_cell_length_b 3.9951
_cell_length_c 5.6738
_cell_angle_alpha 90.00
_cell_angle_beta 90.17
_cell_angle_gamma 90.00
_symmetry_space_group_name_H-M 'P 1 2/m 1'
_symmetry_Int_Tables_number 10
loop_
_symmetry_equiv_pos_as_xyz
'x,y,z'
'-x,-y,-z'
'-x,y,-z'
'x,-y,z'
loop_
_atom_site_label
_atom_site_type_symbol
_atom_site_fract_x
_atom_site_fract_y
_atom_site_fract_z
Re1 Re 0.0000 0.0000 0.0000
Mo1 Mo 0.4978 0.5000 0.2253
Au1 Au 0.0000 0.0000 0.5000
```

Summary:
The energy of formation comes out at 0.1819 eV per atom. The volume comes out at 16.10 Å³ per atom. The value obtained for the total energy is -0.3368 hartree per atom. The density of states at the Fermi level comes out at 3.52 states/eV/f.u. The calculation puts the energy relative to the lowest polymorph listed for this composition at 0.000 eV per atom.

[7]
The following is a PBE calculation of a relaxed ReMo4Au crystal, from the Alexandria database.

CIF file:
```
data_ReMo4Au
_cell_length_a 7.3252
_cell_length_b 7.3252
_cell_length_c 7.3252
_cell_angle_alpha 90.00
_cell_angle_beta 90.00
_cell_angle_gamma 90.00
_symmetry_space_group_name_H-M 'F -4 3 m'
_symmetry_Int_Tables_number 216
_symmetry_space_group_name_Hall 'F -4 2 3'
loop_
_atom_site_label
_atom_site_type_symbol
_atom_site_fract_x
_atom_site_fract_y
_atom_site_fract_z
Re1 Re 0.0000 0.0000 0.0000
Mo1 Mo 0.1239 0.1239 0.3761
Au1 Au 0.2500 0.2500 0.7500
```

Summary:
The energy of formation comes out at 0.3623 eV per atom. The volume comes out at 16.38 Å³ per atom. The value obtained for the total energy is -0.3484 hartree per atom. The density of states at the Fermi level comes out at 1.92 states/eV/f.u.

[8]
The following is a PBE calculation of a relaxed ReMo2Au crystal, from the Alexandria database.

CIF file:
```
data_ReMo2Au
_cell_length_a 5.6117
_cell_length_b 8.0235
_cell_length_c 2.8232
_cell_angle_alpha 90.00
_cell_angle_beta 90.00
_cell_angle_gamma 90.00
_symmetry_space_group_name_H-M 'C m m m'
_symmetry_Int_Tables_number 65
_symmetry_space_group_name_Hall '-C 2 2'
loop_
_atom_site_label
_atom_site_type_symbol
_atom_site_fract_x
_atom_site_fract_y
_atom_site_fract_z
Re1 Re 0.0000 0.0000 0.0000
Mo1 Mo 0.2500 0.2500 0.5000
Au1 Au 0.0000 0.5000 0.0000
```

Summary:
The energy of formation comes out at 0.2250 eV per atom. The volume comes out at 15.89 Å³ per atom. The value obtained for the total energy is -0.3352 hartree per atom. The density of states at the Fermi level comes out at 3.41 states/eV/f.u. The calculation puts the energy relative to the lowest polymorph listed for this composition at 0.043 eV per atom.

[9]
The following is a PBE calculation of a relaxed ReMoAu crystal, from the Alexandria database.

CIF file:
```
data_ReMoAu
_cell_length_a 2.8356
_cell_length_b 3.9895
_cell_length_c 8.6473
_cell_angle_alpha 89.93
_cell_angle_beta 88.44
_cell_angle_gamma 90.00
_symmetry_space_group_name_H-M 'P 1'
_symmetry_Int_Tables_number 1
loop_
_symmetry_equiv_pos_as_xyz
'x,y,z'
loop_
_atom_site_label
_atom_site_type_symbol
_atom_site_fract_x
_atom_site_fract_y
_atom_site_fract_z
Re1 Re 0.0000 0.0000 0.0000
Re2 Re 0.0076 0.9993 0.6956
Mo1 Mo 0.4328 0.4996 0.5461
Mo2 Mo 0.4812 0.4998 0.8599
Au1 Au 0.4765 0.4994 0.1864
Au2 Au 0.9612 0.9997 0.3644
```

Summary:
The energy of formation comes out at 0.2061 eV per atom. The volume comes out at 16.30 Å³ per atom. The value obtained for the total energy is -0.3177 hartree per atom. The density of states at the Fermi level comes out at 1.96 states/eV/f.u. The calculation puts the energy relative to the lowest polymorph listed for this composition at 0.000 eV per atom.

[10]
The following is a PBE calculation of a relaxed ReMo2Au crystal, from the Alexandria database.

CIF file:
```
data_ReMo2Au
_cell_length_a 2.7219
_cell_length_b 4.5591
_cell_length_c 5.2403
_cell_angle_alpha 90.00
_cell_angle_beta 97.52
_cell_angle_gamma 90.00
_symmetry_space_group_name_H-M 'P 1 m 1'
_symmetry_Int_Tables_number 6
loop_
_symmetry_equiv_pos_as_xyz
'x,y,z'
'x,-y,z'
loop_
_atom_site_label
_atom_site_type_symbol
_atom_site_fract_x
_atom_site_fract_y
_atom_site_fract_z
Re1 Re 0.0000 0.0000 0.0000
Mo1 Mo 0.3467 0.5000 0.8138
Mo2 Mo 0.5713 0.0000 0.5239
Au1 Au 0.9984 0.5000 0.3019
```

Summary:
The energy of formation comes out at 0.2585 eV per atom. The volume comes out at 16.12 Å³ per atom. The value obtained for the total energy is -0.3340 hartree per atom. The density of states at the Fermi level comes out at 3.26 states/eV/f.u. The calculation puts the energy relative to the lowest polymorph listed for this composition at 0.077 eV per atom.